Entry from Alexandria: crystalline BeInPd5 at its relaxed geometry (PBE).

a = 8.713 Å, b = 6.682 Å, c = 8.845 Å
α = 90.00°, β = 115.10°, γ = 90.00°
Space group C2/c (No. 15)
One atom of each set of equivalent atoms:
Be  0.250  0.250  0.000
In  0.000  0.067  0.250
Pd  0.000  0.342  0.750
Pd  0.120  0.371  0.491
Pd  0.222  0.360  0.234

Values from the calculation:
Fermi-level density of states (states/eV per cell): 17.21
Formation energy from the elements (eV per atom): -0.1894


Entry from Alexandria: crystalline Be2InPd at its relaxed geometry (PBE).

a = 4.137 Å, b = 4.137 Å, c = 15.961 Å
α = 90.00°, β = 90.00°, γ = 90.00°
Space group I-42d (No. 122)
One atom of each set of equivalent atoms:
Be  0.001  0.750  0.125
In  0.000  0.000  0.500
Pd  0.000  0.000  0.000

Values from the calculation:
Fermi-level density of states (states/eV per cell): 8.79
Formation energy from the elements (eV per atom): 0.2245


Entry from Alexandria: crystalline Be2InPd8 at its relaxed geometry (PBE).

a = 7.205 Å, b = 10.543 Å, c = 4.462 Å
α = 90.00°, β = 105.83°, γ = 90.00°
Space group C2/m (No. 12)
One atom of each set of equivalent atoms:
Be  0.000  0.184  0.000
In  0.000  0.500  0.500
Pd  0.000  0.247  0.500
Pd  0.110  0.000  0.304
Pd  0.201  0.371  0.091

Values from the calculation:
Fermi-level density of states (states/eV per cell): 7.84
Formation energy from the elements (eV per atom): -0.3471


Entry from Alexandria: crystalline Be4InPd at its relaxed geometry (PBE).

a = 6.457 Å, b = 6.457 Å, c = 6.457 Å
α = 90.00°, β = 90.00°, γ = 90.00°
Space group F-43m (No. 216)
One atom of each set of equivalent atoms:
Be  0.123  0.123  0.377
In  0.000  0.000  0.000
Pd  0.250  0.250  0.750

Values from the calculation:
Fermi-level density of states (states/eV per cell): 11.97
Formation energy from the elements (eV per atom): -0.1278